The following is a meta-GGA SCAN calculation of a PBEsol-optimized structure of ZrGaN3, from Alexandria via LeMat-Bulk.

E	-14.664	eV per atom
energy relative to the elements, uncorrected	0.320	eV per atom

abc: 3.7614 3.7614 3.7614
angles: 90.00 90.00 90.00
Last column: nearest neighbours and their distance in Å.
Sites, in units of the cell vectors:
Ga (0.0000, 0.0000, 0.0000)  6 N 1.88
Zr (0.5000, 0.5000, 0.5000)  12 N 2.66
N (0.0000, 0.5000, 0.0000)  2 Ga 1.88
N (0.0000, 0.0000, 0.5000)  2 Ga 1.88
N (0.5000, 0.0000, 0.0000)  2 Ga 1.88